BeNbGe, relaxed, DFT GGA-PBE; energy of formation from the pure elements = -0.193 eV/atom; theoretical density = 6.75 Mg/m³; VASP energy = -18.99 eV per formula unit
1.0
5.311 0.000 0.000
0.000 5.294 0.000
-2.619 0.000 6.109
Be Nb Ge
4 4 4
Direct
0.250 0.250 0.000
0.250 0.750 0.000
0.750 0.250 0.000
0.750 0.750 0.000
0.147 0.000 0.297
0.353 0.500 0.703
0.647 0.500 0.297
0.853 0.000 0.703
0.134 0.500 0.271
0.366 0.000 0.729
0.634 0.000 0.271
0.866 0.500 0.729